# GaFe2AgTe4, optimized geometry, DFT PBE
# Fermi-level density of states, states/eV per atom: 1.39
# Calculated volume, Å³ per cell: 474
# Formation energy (no corrections), kJ/mol of atoms: 0.97
data_GaFe2AgTe4
_cell_length_a 6.2276
_cell_length_b 6.2276
_cell_length_c 12.2161
_cell_angle_alpha 90.00
_cell_angle_beta 90.00
_cell_angle_gamma 90.00
_symmetry_space_group_name_H-M 'I -4 2 m'
_symmetry_Int_Tables_number 121
_symmetry_space_group_name_Hall 'I -4 2'
loop_
_atom_site_label
_atom_site_type_symbol
_atom_site_fract_x
_atom_site_fract_y
_atom_site_fract_z
Ga1 Ga 0.0000 0.0000 0.0000
Fe1 Fe 0.0000 0.5000 0.2500
Ag1 Ag 0.0000 0.0000 0.5000
Te1 Te 0.2431 0.2431 0.8664